Entry 1:
YFe4W | PBE | optimized geometry

Space group: F-43m, No. 216
Magnetic moment, μB per atom: 1.082
Calculated total energy, eV/atom: -8.751

Lattice parameters (Å, degrees): 4.9415 4.9415 4.9415 60.00 60.00 60.00
Site moments in Bohr magnetons follow the coordinates.
Positions (direct):
W1 0.7500 0.7500 0.7500  -0.62
Fe1 0.8714 0.3762 0.3762  1.87
Fe2 0.3762 0.8714 0.3762  1.87
Y1 0.0000 0.0000 0.0000  -0.17
Fe3 0.3762 0.3762 0.8714  1.87
Fe4 0.3762 0.3762 0.3762  1.87

Entry 2:
ThAl3Cu2 | PBE | optimized geometry

Space group: Cmcm, No. 63
Magnetic moment, μB per atom: 0.000
Calculated total energy, eV/atom: -4.782

Lattice parameters (Å, degrees): 5.0824 6.5928 6.5928 104.90 90.00 90.00
Positions (direct):
Cu1 0.0000 0.7972 0.2028
Al1 0.2500 0.5285 0.9092
Al2 0.7500 0.0666 0.0666
Th1 0.7500 0.6687 0.6687
Th2 0.2500 0.3313 0.3313
Cu2 0.0000 0.2028 0.7972
Al3 0.2500 0.9092 0.5285
Al4 0.7500 0.0908 0.4715
Cu3 0.5000 0.7972 0.2028
Cu4 0.5000 0.2028 0.7972
Al5 0.7500 0.4715 0.0908
Al6 0.2500 0.9334 0.9334

Entry 3:
PrIn6Pd3 | PBE | optimized geometry

Space group: P2_1/m, No. 11
Magnetic moment, μB per atom: 0.000
Calculated total energy, eV/atom: -4.132

Lattice parameters (Å, degrees): 4.6266 9.2853 10.4510 81.23 90.00 90.00
Positions (direct):
Pd1 0.7500 0.8112 0.4998
Pr1 0.2500 0.9227 0.2582
In1 0.7500 0.0987 0.3902
Pd2 0.7500 0.1436 0.1126
In2 0.2500 0.3510 0.7020
Pd3 0.2500 0.6093 0.1539
In3 0.2500 0.1479 0.9629
In4 0.2500 0.9013 0.6098
In5 0.7500 0.6490 0.2980
Pd4 0.7500 0.3907 0.8461
In6 0.2500 0.2908 0.2351
In7 0.7500 0.4469 0.0951
Pd5 0.2500 0.1888 0.5002
Pd6 0.2500 0.8564 0.8874
In8 0.2500 0.5531 0.9049
Pr2 0.7500 0.0773 0.7418
In9 0.7500 0.3799 0.5082
In10 0.2500 0.6201 0.4918
In11 0.7500 0.7092 0.7649
In12 0.7500 0.8521 0.0371

Entry 4:
La2MnTlN | PBE | optimized geometry

Space group: P4/mmm, No. 123
E_form (uncorrected), meV/atom: -535
Magnetic moment, μB per atom: 0.000
Calculated total energy, eV/atom: -6.479

Lattice parameters (Å, degrees): 5.4354 5.4354 3.7176 90.00 90.00 90.00
Positions (direct):
Mn1 0.0000 0.0000 0.5000
N1 0.0000 0.0000 0.0000
La1 0.0000 0.5000 0.0000
La2 0.5000 0.0000 0.0000
Tl1 0.5000 0.5000 0.5000

Entry 5:
K2FeH | PBE | optimized geometry

Space group: I-42d, No. 122
Magnetic moment, μB per atom: 0.751
Polymorph energy (0 for the lowest one), kJ per mole of atoms: 0.0
Calculated total energy, eV/atom: -2.691

Lattice parameters (Å, degrees): 7.9615 7.9615 7.0209 55.46 55.46 90.00
Site moments in Bohr magnetons follow the coordinates.
Positions (direct):
K1 0.3750 0.4637 0.7500  -0.01
H1 0.5000 0.5000 0.0000  0.00
K2 0.8750 0.7863 0.7500  -0.01
Fe1 0.7500 0.2500 0.5000  3.07
H2 0.2500 0.7500 0.5000  0.00
Fe2 0.0000 0.0000 0.0000  3.06
K3 0.2137 0.6250 0.2500  -0.01
K4 0.5363 0.1250 0.2500  -0.01

Entry 6:
NaZr2F8 | PBE | optimized geometry

Space group: C2/m, No. 12
E_form (uncorrected), meV/atom: -3344
Magnetic moment, μB per atom: 0.091
Polymorph energy (0 for the lowest one), kJ per mole of atoms: 5.6
Calculated total energy, eV/atom: -6.379

Lattice parameters (Å, degrees): 4.3770 5.9932 5.9932 69.71 94.96 94.96
Site moments in Bohr magnetons follow the coordinates.
Positions (direct):
F1 0.9676 0.2494 0.2494  0.00
Zr1 0.5014 0.3150 0.3150  0.41
Zr2 0.4986 0.6850 0.6850  0.41
F2 0.5722 0.6774 0.0519  0.00
F3 0.5722 0.0519 0.6774  0.00
F4 0.0324 0.7506 0.7506  0.00
Na1 0.0000 0.0000 0.0000  0.00
F5 0.7548 0.5142 0.5142  0.00
F6 0.2452 0.4858 0.4858  0.00
F7 0.4278 0.3226 0.9481  0.00
F8 0.4278 0.9481 0.3226  0.00

What did the fifth record say?
K2FeH | PBE | optimized geometry

Space group: I-42d, No. 122
Magnetic moment, μB per atom: 0.751
Polymorph energy (0 for the lowest one), kJ per mole of atoms: 0.0
Calculated total energy, eV/atom: -2.691

Lattice parameters (Å, degrees): 7.9615 7.9615 7.0209 55.46 55.46 90.00
Site moments in Bohr magnetons follow the coordinates.
Positions (direct):
K1 0.3750 0.4637 0.7500  -0.01
H1 0.5000 0.5000 0.0000  0.00
K2 0.8750 0.7863 0.7500  -0.01
Fe1 0.7500 0.2500 0.5000  3.07
H2 0.2500 0.7500 0.5000  0.00
Fe2 0.0000 0.0000 0.0000  3.06
K3 0.2137 0.6250 0.2500  -0.01
K4 0.5363 0.1250 0.2500  -0.01

> Which formula does entry 5 have?

K2FeH

> Look up the calculated total energy of the sixth one.

-6.379 eV/atom